This record from Alexandria describes a geometry-optimized BeAlIr2 structure. The functional is PBE-GGA.

abc: 2.9125 4.7419 7.6477
angles: 90.00 90.00 90.00
Closest atoms and distances in Å follow each position.
Space group Cmmm (No. 65)
Inequivalent atoms, fractional coordinates:
Be: 0.0000 0.0000 0.0000 x2  4 Ir 2.30
Al: 0.0000 0.0000 0.5000 x2  4 Ir 2.51, 4 Al 2.78
Ir: 0.0000 0.5000 0.2328 x4  2 Be 2.30, 2 Al 2.51

## Properties
The density of states at the Fermi level comes out at 1.18 states/eV per cell. The crystal system is orthorhombic. The energy above the most stable polymorph in this dataset comes out at 410 meV per atom. Its formation energy is -365 meV per atom.

This record from Alexandria describes a geometry-optimized BeAlIr2 structure. The functional is PBE-GGA.

abc: 3.5694 3.5694 8.2253
angles: 90.00 90.00 90.00
Closest atoms and distances in Å follow each position.
Space group I-4m2 (No. 119)
Inequivalent atoms, fractional coordinates:
Be: 0.0000 0.0000 0.0000 x2  8 Ir 2.52-2.72, 4 Al 2.72
Al: 0.0000 0.5000 0.2500 x2  8 Ir 2.52-2.72, 4 Be 2.72
Ir: 0.0000 0.0000 0.5000 x2  4 Be 2.52, 4 Al 2.72, 4 Ir 2.72
Ir: 0.0000 0.5000 0.7500 x2  4 Al 2.52, 4 Ir 2.72, 4 Be 2.72

## Properties
The density of states at the Fermi level comes out at 5.46 states/eV per cell. The crystal system is tetragonal. The energy above the most stable polymorph in this dataset comes out at 410 meV per atom. Its formation energy is -365 meV per atom.

This record from Alexandria describes a geometry-optimized BeAlIr structure. The functional is PBE-GGA.

abc: 2.8059 2.8059 5.7883
angles: 90.00 90.00 120.00
Closest atoms and distances in Å follow each position.
Space group P3m1 (No. 156)
Inequivalent atoms, fractional coordinates:
Be: 0.0000 0.0000 0.0000 x1  3 Ir 2.36, 3 Al 2.60
Al: 0.6667 0.3333 0.6498 x1  3 Be 2.60, 3 Ir 2.61, 6 Al 2.81
Ir: 0.3333 0.6667 0.2963 x1  3 Be 2.36, 3 Al 2.61

## Properties
The density of states at the Fermi level comes out at 1.55 states/eV per cell. The crystal system is trigonal. The energy above the most stable polymorph in this dataset comes out at 426 meV per atom. Its formation energy is -220 meV per atom.